{"formula": "Sc2SnSbBr", "functional": "PBE", "state": "relaxed", "formation_energy_uncorrected_mev_per_atom": 147, "energy_ev_per_atom": -4.345, "n_ef_per_ev_cell": 7.6, "cell": [[5.024, 0.000, 0.000], [0.000, 5.024, 0.000], [0.000, 0.000, 5.646]], "species": ["Sc", "Sc", "Sn", "Sb", "Br"], "fractional_positions": [[0.000, 0.500, 0.000], [0.500, 0.000, 0.000], [0.000, 0.000, 0.500], [0.500, 0.500, 0.500], [0.000, 0.000, 0.000]]}

***

{"formula": "NaSrP", "functional": "PBE", "state": "relaxed", "e_form_mev_per_atom": -755, "energy_ev_per_atom": -3.558, "cell": [[2.532, 1.462, 8.094], [-2.532, 1.462, 8.094], [0.000, -2.924, 8.094]], "species": ["Na", "Na", "Sr", "Sr", "P", "P"], "fractional_positions": [[0.133, 0.133, 0.133], [0.867, 0.867, 0.867], [0.383, 0.383, 0.383], [0.617, 0.617, 0.617], [0.253, 0.253, 0.253], [0.747, 0.747, 0.747]]}

***

{"formula": "YMg2Fe2", "functional": "PBE", "state": "relaxed", "e_form_mev_per_atom": 257, "energy_ev_per_atom": -5.059, "e_above_lowest_polymorph_kj_per_mol_fu": 50, "n_ef_per_ev_cell": 11.3, "cell": [[7.219, 0.000, 0.000], [0.000, 7.219, 0.000], [0.000, 0.000, 3.656]], "species": ["Y", "Y", "Mg", "Mg", "Mg", "Mg", "Fe", "Fe", "Fe", "Fe"], "fractional_positions": [[0.000, 0.000, 0.000], [0.500, 0.500, 0.000], [0.169, 0.331, 0.500], [0.331, 0.831, 0.500], [0.669, 0.169, 0.500], [0.831, 0.669, 0.500], [0.111, 0.611, 0.000], [0.389, 0.111, 0.000], [0.611, 0.889, 0.000], [0.889, 0.389, 0.000]]}

***

{"formula": "TaV3H4", "functional": "PBE", "state": "relaxed", "energy_ev_per_atom": -6.750, "e_above_lowest_polymorph_kj_per_mol_fu": 0, "n_ef_per_ev_cell": 3.9, "cell": [[6.545, 0.000, 0.000], [0.000, 4.539, 0.000], [0.000, 0.000, 4.610]], "species": ["Ta", "Ta", "V", "V", "V", "V", "V", "V", "H", "H", "H", "H", "H", "H", "H", "H"], "fractional_positions": [[0.000, 0.248, 0.000], [0.500, 0.752, 0.500], [0.000, 0.749, 0.501], [0.249, 0.253, 0.501], [0.251, 0.747, 0.001], [0.500, 0.251, 0.001], [0.749, 0.747, 0.001], [0.751, 0.253, 0.501], [0.000, 0.371, 0.400], [0.000, 0.656, 0.879], [0.237, 0.886, 0.363], [0.263, 0.114, 0.863], [0.500, 0.344, 0.379], [0.500, 0.629, 0.900], [0.737, 0.114, 0.863], [0.763, 0.886, 0.363]]}

***

{"formula": "HoU4N5", "functional": "PBE", "state": "relaxed", "formation_energy_uncorrected_mev_per_atom": -1382, "energy_ev_per_atom": -10.518, "n_ef_per_ev_cell": 17.4, "cell": [[-3.845, 3.845, 2.424], [3.845, -3.845, 2.424], [3.845, 3.845, -2.424]], "species": ["Ho", "U", "U", "U", "U", "N", "N", "N", "N", "N"], "fractional_positions": [[0.000, 0.000, 0.000], [0.200, 0.399, 0.599], [0.399, 0.800, 0.199], [0.601, 0.200, 0.801], [0.800, 0.601, 0.401], [0.101, 0.699, 0.800], [0.301, 0.101, 0.402], [0.500, 0.500, 0.000], [0.699, 0.899, 0.598], [0.899, 0.301, 0.200]]}

***

{"formula": "LiSc2As", "functional": "PBE", "state": "relaxed", "e_form_mev_per_atom": -518, "energy_ev_per_atom": -5.325, "n_ef_per_ev_cell": 5.8, "cell": [[3.707, 0.000, 0.000], [0.000, 4.159, 0.000], [0.000, 0.000, 9.962]], "species": ["Li", "Li", "Sc", "Sc", "Sc", "Sc", "As", "As"], "fractional_positions": [[0.000, 0.000, 0.000], [0.500, 0.500, 0.500], [0.000, 0.000, 0.548], [0.000, 0.500, 0.783], [0.500, 0.000, 0.283], [0.500, 0.500, 0.048], [0.000, 0.500, 0.308], [0.500, 0.000, 0.808]]}

***

{"formula": "Mg3BiN", "functional": "PBE", "state": "relaxed", "formation_energy_uncorrected_mev_per_atom": -338, "energy_ev_per_atom": -3.736, "n_ef_per_ev_cell": 1.3, "cell": [[7.955, -2.096, 0.000], [7.955, 2.096, 0.000], [-2.915, 0.000, 6.597]], "species": ["Mg", "Mg", "Mg", "Mg", "Mg", "Mg", "Bi", "Bi", "N", "N"], "fractional_positions": [[0.042, 0.042, 0.337], [0.183, 0.183, 0.083], [0.311, 0.311, 0.562], [0.689, 0.689, 0.438], [0.817, 0.817, 0.917], [0.958, 0.958, 0.663], [0.397, 0.397, 0.234], [0.603, 0.603, 0.766], [0.172, 0.172, 0.354], [0.828, 0.828, 0.646]]}

***

{"formula": "ErTmCd2", "functional": "PBE", "state": "relaxed", "e_form_mev_per_atom": -315, "energy_ev_per_atom": -3.031, "e_above_lowest_polymorph_kj_per_mol_fu": 1, "n_ef_per_ev_cell": 3.4, "cell": [[5.218, 0.000, 0.000], [0.000, 5.218, 0.000], [0.000, 0.000, 3.731]], "species": ["Er", "Tm", "Cd", "Cd"], "fractional_positions": [[0.000, 0.000, 0.000], [0.500, 0.500, 0.000], [0.000, 0.500, 0.500], [0.500, 0.000, 0.500]]}

***

{"formula": "LaY4Zn", "functional": "PBE", "state": "relaxed", "e_form_mev_per_atom": 372, "energy_ev_per_atom": -4.971, "e_above_lowest_polymorph_kj_per_mol_fu": 273, "n_ef_per_ev_cell": 5.8, "cell": [[0.000, 4.599, 4.599], [4.599, 0.000, 4.599], [4.599, 4.599, 0.000]], "species": ["La", "Y", "Y", "Y", "Y", "Zn"], "fractional_positions": [[0.000, 0.000, 0.000], [0.125, 0.625, 0.625], [0.625, 0.125, 0.625], [0.625, 0.625, 0.125], [0.625, 0.625, 0.625], [0.250, 0.250, 0.250]]}

***

{"formula": "Pm3Cu2Pd3", "functional": "PBE", "state": "relaxed", "e_form_mev_per_atom": -602, "energy_ev_per_atom": -5.355, "e_above_lowest_polymorph_kj_per_mol_fu": 0, "n_ef_per_ev_cell": 8.7, "cell": [[2.136, -5.340, 0.000], [2.136, 5.340, 0.000], [0.000, 0.000, 14.936]], "species": ["Pm", "Pm", "Pm", "Pm", "Pm", "Pm", "Cu", "Cu", "Cu", "Cu", "Pd", "Pd", "Pd", "Pd", "Pd", "Pd"], "fractional_positions": [[0.089, 0.911, 0.602], [0.089, 0.911, 0.898], [0.363, 0.637, 0.750], [0.637, 0.363, 0.250], [0.911, 0.089, 0.102], [0.911, 0.089, 0.398], [0.210, 0.790, 0.105], [0.210, 0.790, 0.395], [0.790, 0.210, 0.605], [0.790, 0.210, 0.895], [0.352, 0.648, 0.250], [0.384, 0.616, 0.542], [0.384, 0.616, 0.958], [0.616, 0.384, 0.042], [0.616, 0.384, 0.458], [0.648, 0.352, 0.750]]}

***

{"formula": "K5Br2O", "functional": "PBE", "state": "relaxed", "formation_energy_uncorrected_mev_per_atom": -1212, "energy_ev_per_atom": -2.936, "e_above_lowest_polymorph_kj_per_mol_fu": 0, "n_ef_per_ev_cell": 3.8, "cell": [[3.038, -7.521, 0.000], [3.038, 7.521, 0.000], [0.000, 0.000, 14.914]], "species": ["K", "K", "K", "K", "K", "K", "K", "K", "K", "K", "Br", "Br", "Br", "Br", "O", "O"], "fractional_positions": [[0.056, 0.944, 0.631], [0.056, 0.944, 0.869], [0.297, 0.703, 0.620], [0.297, 0.703, 0.880], [0.301, 0.699, 0.250], [0.699, 0.301, 0.750], [0.703, 0.297, 0.120], [0.703, 0.297, 0.380], [0.944, 0.056, 0.131], [0.944, 0.056, 0.369], [0.157, 0.843, 0.065], [0.157, 0.843, 0.435], [0.843, 0.157, 0.565], [0.843, 0.157, 0.935], [0.182, 0.818, 0.750], [0.818, 0.182, 0.250]]}

***

{"formula": "ZnCo3Ag", "functional": "PBE", "state": "relaxed", "e_form_mev_per_atom": 1189, "energy_ev_per_atom": -3.900, "e_above_lowest_polymorph_kj_per_mol_fu": 0, "n_ef_per_ev_cell": 7.4, "cell": [[4.362, 0.000, 0.000], [0.000, 4.362, 0.000], [0.000, 0.000, 4.362]], "species": ["Zn", "Co", "Co", "Co", "Ag"], "fractional_positions": [[0.000, 0.000, 0.000], [0.000, 0.000, 0.500], [0.000, 0.500, 0.000], [0.500, 0.000, 0.000], [0.500, 0.500, 0.500]]}